[1]
A relaxed structure of AgBiP2Cl. Source: the Alexandria database, functional PBE-GGA.

Cell lengths 4.8987, 4.8987, 4.8602 Å; angles 90.00, 90.00, 90.00 degrees
Fractional positions:
P 0.0000 0.5000 0.0000
P 0.5000 0.0000 0.0000
Bi 0.5000 0.5000 0.5000
Ag 0.0000 0.0000 0.0000
Cl 0.0000 0.0000 0.5000

energy above the most stable polymorph in this dataset: 0.0 meV per atom
theoretical density: 5.90 g/cm³
total moment: 0.00 Bohr magnetons per cell
raw formation energy: 0.65 eV per atom

[2]
A relaxed structure of Al4AgS7. Source: the Alexandria database, functional PBE-GGA.

Cell lengths 6.1021, 6.6326, 15.2022 Å; angles 90.00, 90.00, 90.00 degrees
Site moments in Bohr magnetons follow the coordinates.
Fractional positions:
Al 0.5657 0.6724 0.8741  0.00
Al 0.0433 0.8239 0.2465  0.00
Al 0.5433 0.1761 0.2535  0.00
Al 0.0657 0.3276 0.6259  0.00
Al 0.0657 0.3276 0.3741  0.00
Al 0.5657 0.6724 0.1259  0.00
Al 0.0433 0.8239 0.7535  0.00
Al 0.5433 0.1761 0.7465  0.00
Ag 0.9651 0.8330 0.5000  0.07
Ag 0.4651 0.1670 0.0000  0.07
S 0.9307 0.6817 0.1219  0.16
S 0.4307 0.3183 0.3781  0.16
S 0.4226 0.3582 0.8622  0.08
S 0.9226 0.6418 0.6378  0.08
S 0.9226 0.6418 0.3622  0.08
S 0.4226 0.3582 0.1378  0.08
S 0.4220 0.8482 0.7554  0.01
S 0.9220 0.1518 0.7446  0.01
S 0.9220 0.1518 0.2554  0.01
S 0.4220 0.8482 0.2446  0.01
S 0.4210 0.7993 0.0000  0.09
S 0.9210 0.2007 0.5000  0.09
S 0.9307 0.6817 0.8781  0.16
S 0.4307 0.3183 0.6219  0.16

theoretical density: 2.38 g/cm³
total moment: 2.05 Bohr magnetons per cell
raw formation energy: -0.82 eV per atom